A plane-wave DFT calculation with PBE-GGA was carried out for a relaxed structure of LiCa2Br.

a = 5.6260 Å, b = 5.6260 Å, c = 5.6260 Å
α = 60.00°, β = 60.00°, γ = 60.00°
Atoms (fractional coordinates):
Li 0.0000 0.0000 0.0000
Ca 0.2500 0.2500 0.2500
Ca 0.7500 0.7500 0.7500
Br 0.5000 0.5000 0.5000

Computed properties:
E = -2.230 eV/atom
symmetry = Fm-3m (225)
polymorph energy (0 for the lowest one) = 117 kJ/mol of formula units
raw formation energy = -0.3325 eV/atom